Compound: Nb2AsH
Source: the Alexandria database
Functional: PBE
Structure: relaxed

Structure (POSCAR):
```
Nb2AsH
1.0
-2.7030 -4.7803 -2.7161
4.8926 -3.4721 1.2419
-0.1233 -4.9135 1.8607
Nb As H
4 2 2
Direct
0.3750 0.4610 0.7500 Nb
0.5390 0.1250 0.2500 Nb
0.8750 0.7890 0.7500 Nb
0.2110 0.6250 0.2500 Nb
0.0000 0.0000 0.0000 As
0.7500 0.2500 0.5000 As
0.5000 0.5000 0.0000 H
0.2500 0.7500 0.5000 H
```

The calculation puts the distance to the lowest polymorph of the same formula at 0 kJ/mol of formula units. As for the symmetry: I-42d.